Entry from Alexandria via LeMat-Bulk: a relaxed structure of MnFeTcAs (PBE).

POSCAR file:
```
MnFeTcAs
1.0
-0.797 1.706 3.715
-2.391 -2.019 2.749
1.697 -1.619 3.442
Fe Mn Tc As
1 1 1 1
Direct
0.250 0.250 0.250
0.500 0.500 0.500
0.750 0.750 0.750
0.000 0.000 0.000
```

## Properties
Magnetic moment (μB/cell): 3.012
Electronic total energy (eV per atom): -8.197
Theoretical density (g/cm³): 9.22
Volume (Å³/cell): 51.1
Calculated formation energy (eV/atom): -0.0348
Density of states at the Fermi level (states/eV per atom): 0.684